ReTc2Au (PBE-GGA, relaxed); density = 15.48 g/cm3; DOS(E_F) = 3.63 states/eV/f.u.; excess energy over the best structure of this formula in the dataset = 19.6 meV per atom; calculated formation energy = 0.1901 eV/atom; total DFT energy (no corrections) = -0.6559 Ry per atom
1.0
2.802 0.000 0.000
0.000 3.933 0.000
0.000 0.000 5.637
Re Tc Au
1 2 1
direct
0.000 0.000 0.000 Re
0.500 0.500 0.221 Tc
0.500 0.500 0.779 Tc
0.000 0.000 0.500 Au